Record 1
Sn2Ir: relaxed, PBE-GGA.

```
Sn2Ir
1.0
0.000 5.732 5.732
5.732 0.000 5.732
5.732 5.732 0.000
Sn Ir
4 2
Cartesian
0.000 0.000 0.000 Sn
2.866 2.866 0.000 Sn
2.866 0.000 2.866 Sn
0.000 2.866 2.866 Sn
1.433 1.433 1.433 Ir
10.030 10.030 10.030 Ir
```

Properties
SG	Fd-3m
size of the total moment	0.007	μB/cell
E	-5.21	eV/atom

=====

Record 2
SnIr124: relaxed, PBE-GGA.

```
SnIr124
1.0
0.000 9.697 9.697
9.697 0.000 9.697
9.697 9.697 0.000
Sn Ir
1 124
Cartesian
0.000 0.000 0.000 Sn
1.973 1.973 0.000 Ir
3.896 3.896 0.000 Ir
5.801 5.801 0.000 Ir
7.724 7.724 0.000 Ir
3.881 1.942 1.942 Ir
5.820 3.877 1.943 Ir
7.755 5.815 1.942 Ir
1.973 0.000 1.973 Ir
9.697 7.724 1.973 Ir
5.820 1.943 3.877 Ir
7.754 3.877 3.877 Ir
11.638 17.452 13.578 Ir
3.896 0.000 3.896 Ir
9.697 5.801 3.896 Ir
5.801 0.000 5.801 Ir
9.697 3.896 5.801 Ir
7.755 1.942 5.815 Ir
11.640 15.517 15.517 Ir
13.574 17.451 15.517 Ir
7.724 0.000 7.724 Ir
9.697 1.973 7.724 Ir
11.638 13.578 17.452 Ir
13.574 15.517 17.451 Ir
15.512 17.452 17.452 Ir
1.942 3.881 1.942 Ir
3.877 5.820 1.943 Ir
5.815 7.755 1.942 Ir
1.942 1.942 3.881 Ir
3.879 3.879 3.879 Ir
5.818 5.818 3.879 Ir
7.755 7.755 3.881 Ir
9.697 9.697 3.876 Ir
3.877 1.943 5.820 Ir
5.818 3.879 5.818 Ir
7.754 5.820 5.820 Ir
9.697 7.759 5.818 Ir
11.635 9.697 5.818 Ir
5.815 1.942 7.755 Ir
7.755 3.881 7.755 Ir
9.697 5.818 7.759 Ir
11.637 7.757 7.757 Ir
13.575 9.697 7.759 Ir
9.697 3.876 9.697 Ir
11.635 5.818 9.697 Ir
13.575 7.759 9.697 Ir
15.517 9.697 9.697 Ir
0.000 1.973 1.973 Ir
7.724 9.697 1.973 Ir
7.724 1.973 9.697 Ir
1.943 5.820 3.877 Ir
3.877 7.754 3.877 Ir
17.452 11.638 13.578 Ir
1.943 3.877 5.820 Ir
3.879 5.818 5.818 Ir
5.820 7.754 5.820 Ir
7.759 9.697 5.818 Ir
9.697 11.635 5.818 Ir
3.877 3.877 7.754 Ir
5.820 5.820 7.754 Ir
7.757 7.757 7.757 Ir
9.697 9.697 7.759 Ir
11.637 11.637 7.757 Ir
7.759 5.818 9.697 Ir
9.697 7.759 9.697 Ir
11.634 9.697 9.697 Ir
13.575 11.635 9.697 Ir
17.452 13.578 11.638 Ir
9.697 5.818 11.635 Ir
11.637 7.757 11.637 Ir
13.575 9.697 11.635 Ir
15.512 11.638 11.638 Ir
0.000 3.896 3.896 Ir
5.801 9.697 3.896 Ir
5.801 3.896 9.697 Ir
0.000 5.801 5.801 Ir
3.896 9.697 5.801 Ir
3.896 5.801 9.697 Ir
1.942 7.755 5.815 Ir
15.517 11.640 15.517 Ir
17.451 13.574 15.517 Ir
1.942 5.815 7.755 Ir
3.881 7.755 7.755 Ir
5.818 9.697 7.759 Ir
7.757 11.637 7.757 Ir
9.697 13.575 7.759 Ir
5.818 7.759 9.697 Ir
7.759 9.697 9.697 Ir
9.697 11.634 9.697 Ir
11.635 13.575 9.697 Ir
15.517 15.517 11.640 Ir
7.757 7.757 11.637 Ir
9.697 9.697 11.634 Ir
11.637 11.637 11.637 Ir
13.574 13.574 11.640 Ir
17.451 15.517 13.574 Ir
9.697 7.759 13.575 Ir
11.635 9.697 13.575 Ir
13.574 11.640 13.574 Ir
15.514 13.576 13.576 Ir
0.000 7.724 7.724 Ir
1.973 9.697 7.724 Ir
1.973 7.724 9.697 Ir
13.578 11.638 17.452 Ir
15.517 13.574 17.451 Ir
17.452 15.512 17.452 Ir
3.876 9.697 9.697 Ir
5.818 11.635 9.697 Ir
7.759 13.575 9.697 Ir
9.697 15.517 9.697 Ir
13.578 17.452 11.638 Ir
5.818 9.697 11.635 Ir
7.757 11.637 11.637 Ir
9.697 13.575 11.635 Ir
11.638 15.512 11.638 Ir
15.517 17.451 13.574 Ir
7.759 9.697 13.575 Ir
9.697 11.635 13.575 Ir
11.640 13.574 13.574 Ir
13.576 15.514 13.576 Ir
17.452 17.452 15.512 Ir
9.697 9.697 15.517 Ir
11.638 11.638 15.512 Ir
13.576 13.576 15.514 Ir
15.514 15.514 15.514 Ir
```

Properties
SG	Fm-3m
size of the total moment	0.032	μB/cell
E	-8.82	eV/atom

=====

Record 3
Sn2Ir: relaxed, PBE-GGA.

```
Sn2Ir
1.0
12.002 0.000 0.000
0.000 10.475 0.000
0.000 0.000 6.342
Sn Ir
24 12
Cartesian
0.070 2.619 1.511 Sn
0.539 6.012 1.214 Sn
0.539 9.700 1.214 Sn
2.237 2.619 5.264 Sn
2.722 6.109 4.428 Sn
2.722 9.603 4.428 Sn
3.279 0.872 1.257 Sn
3.279 4.365 1.257 Sn
3.763 7.856 2.093 Sn
5.462 0.775 4.385 Sn
5.462 4.462 4.385 Sn
5.931 7.856 4.682 Sn
6.071 2.619 1.660 Sn
6.539 6.012 1.957 Sn
6.539 9.700 1.957 Sn
8.238 2.619 4.250 Sn
8.723 6.109 5.086 Sn
8.723 9.603 5.086 Sn
9.280 0.872 1.915 Sn
9.280 4.365 1.915 Sn
9.764 7.856 1.079 Sn
11.463 0.775 5.128 Sn
11.463 4.462 5.128 Sn
11.932 7.856 4.831 Sn
1.317 1.002 3.190 Ir
1.317 4.236 3.190 Ir
2.123 7.856 0.017 Ir
3.878 2.619 3.188 Ir
4.684 6.239 0.018 Ir
4.684 9.473 0.018 Ir
7.318 1.002 6.324 Ir
7.318 4.236 6.324 Ir
8.124 7.856 3.154 Ir
9.879 2.619 6.326 Ir
10.685 6.239 3.153 Ir
10.685 9.473 3.153 Ir
```

Properties
SG	Pnma
size of the total moment	0.016	μB/cell
E	-5.80	eV/atom

=====

Record 4
Sn2Ir: relaxed, PBE-GGA.

```
Sn2Ir
1.0
6.194 0.000 0.000
0.000 6.389 0.000
0.000 0.000 3.832
Sn Ir
4 2
Cartesian
1.310 1.277 0.000 Sn
1.787 4.471 1.916 Sn
4.407 1.918 1.916 Sn
4.884 5.112 0.000 Sn
0.000 0.000 1.916 Ir
3.097 3.195 0.000 Ir
```

Properties
SG	Pnnm
size of the total moment	0.003	μB/cell
E	-5.82	eV/atom

=====

Record 5
SnIr9: relaxed, PBE-GGA.

```
SnIr9
1.0
2.771 0.000 0.000
0.000 2.771 0.000
0.000 0.000 51.146
Sn Ir
2 18
Cartesian
0.693 0.693 7.138 Sn
2.078 2.078 44.008 Sn
0.693 0.693 11.203 Ir
0.693 0.693 15.030 Ir
0.693 0.693 18.871 Ir
0.693 0.693 22.708 Ir
0.693 0.693 26.527 Ir
0.693 0.693 30.356 Ir
0.693 0.693 34.191 Ir
0.693 0.693 38.038 Ir
0.693 0.693 41.859 Ir
2.078 2.078 9.287 Ir
2.078 2.078 13.108 Ir
2.078 2.078 16.955 Ir
2.078 2.078 20.790 Ir
2.078 2.078 24.619 Ir
2.078 2.078 28.438 Ir
2.078 2.078 32.275 Ir
2.078 2.078 36.116 Ir
2.078 2.078 39.943 Ir
```

Properties
SG	P4/nmm
size of the total moment	0.000	μB/cell
E	-8.30	eV/atom
relative energy among the computed polymorphs	23	meV/atom

=====

Record 6
Sn2Ir: relaxed, PBE-GGA.

```
Sn2Ir
1.0
4.084 0.000 0.000
0.000 5.078 0.000
0.000 0.000 6.403
Sn Ir
4 2
Cartesian
0.000 0.563 0.000 Sn
0.000 4.515 3.201 Sn
2.042 1.788 4.129 Sn
2.042 3.289 0.928 Sn
0.000 1.947 2.261 Ir
0.000 3.131 5.463 Ir
```

Properties
SG	Pmc2_1
size of the total moment	0.003	μB/cell
E	-5.64	eV/atom

=====

Record 7
Sn4Ir: relaxed, PBE-GGA.

```
Sn4Ir
1.0
3.194 -5.760 0.000
3.194 5.760 0.000
0.000 0.000 6.370
Sn Ir
8 2
Cartesian
1.102 1.423 0.494 Sn
2.092 1.423 3.679 Sn
1.102 -1.423 3.679 Sn
2.092 -1.423 0.494 Sn
4.296 1.423 5.876 Sn
5.286 1.423 2.691 Sn
4.296 -1.423 2.691 Sn
5.286 -1.423 5.876 Sn
3.194 2.880 1.592 Ir
3.194 -2.880 4.777 Ir
```

Properties
SG	Ccce
size of the total moment	0.001	μB/cell
E	-5.16	eV/atom

=====

Record 8
Sn2Ir: relaxed, PBE-GGA.

```
Sn2Ir
1.0
0.000 4.085 4.085
4.085 0.000 4.085
4.085 4.085 0.000
Sn Ir
4 2
Cartesian
0.000 0.000 0.000 Sn
2.043 2.043 0.000 Sn
2.043 0.000 2.043 Sn
0.000 2.043 2.043 Sn
3.064 3.064 3.064 Ir
5.107 5.107 5.107 Ir
```

Properties
SG	Fd-3m
size of the total moment	0.009	μB/cell
E	-4.49	eV/atom

=====

Record 9
Sn2Ir7: relaxed, PBE-GGA.

```
Sn2Ir7
1.0
2.838 0.000 0.000
-1.419 2.458 0.000
0.000 0.000 32.416
Sn Ir
2 7
Cartesian
0.000 1.638 7.264 Sn
1.419 0.819 25.152 Sn
0.000 0.000 9.631 Ir
0.000 0.000 16.208 Ir
0.000 0.000 22.785 Ir
0.000 1.638 14.007 Ir
0.000 1.638 20.599 Ir
1.419 0.819 11.817 Ir
1.419 0.819 18.409 Ir
```

Properties
SG	P-3m1
size of the total moment	0.010	μB/cell
E	-7.53	eV/atom

=====

Record 10
SnIr9: relaxed, PBE-GGA.

```
SnIr9
1.0
2.761 0.000 0.000
0.000 3.868 0.000
0.000 0.000 40.824
Sn Ir
2 18
Cartesian
0.690 0.967 7.155 Sn
2.071 2.901 33.670 Sn
0.690 0.967 10.173 Ir
0.690 0.967 12.906 Ir
0.690 0.967 15.626 Ir
0.690 0.967 18.361 Ir
0.690 0.967 21.095 Ir
0.690 0.967 23.831 Ir
0.690 0.967 26.563 Ir
0.690 0.967 29.292 Ir
0.690 0.967 32.006 Ir
2.071 2.901 8.818 Ir
2.071 2.901 11.533 Ir
2.071 2.901 14.262 Ir
2.071 2.901 16.994 Ir
2.071 2.901 19.729 Ir
2.071 2.901 22.463 Ir
2.071 2.901 25.199 Ir
2.071 2.901 27.918 Ir
2.071 2.901 30.652 Ir
```

Properties
SG	Pmmn
size of the total moment	0.006	μB/cell
E	-8.32	eV/atom
relative energy among the computed polymorphs	0	meV/atom

=====

Record 11
Sn2Ir: relaxed, PBE-GGA.

```
Sn2Ir
1.0
7.281 0.000 0.000
0.000 4.026 0.000
0.000 0.000 8.487
Sn Ir
8 4
Cartesian
0.265 1.007 1.346 Sn
1.025 1.007 4.816 Sn
2.615 3.020 0.573 Sn
3.375 3.020 5.589 Sn
3.905 1.007 2.898 Sn
4.665 1.007 7.914 Sn
6.255 3.020 3.671 Sn
7.015 3.020 7.141 Sn
1.743 3.020 3.143 Ir
1.898 1.007 7.386 Ir
5.383 3.020 1.100 Ir
5.538 1.007 5.343 Ir
```

Properties
SG	Pnma
size of the total moment	0.020	μB/cell
E	-5.73	eV/atom

=====

Record 12
Sn4Ir: relaxed, PBE-GGA.

```
Sn4Ir
1.0
-3.189 3.189 11.537
3.189 -3.189 11.537
3.189 3.189 -11.537
Sn Ir
16 4
Cartesian
1.100 0.489 -1.419 Sn
1.106 -0.494 4.349 Sn
2.089 0.489 1.419 Sn
4.295 -0.494 7.188 Sn
4.295 0.494 4.349 Sn
2.089 -0.489 10.118 Sn
1.106 0.494 7.188 Sn
1.100 -0.489 12.957 Sn
2.089 3.678 -1.419 Sn
2.083 2.695 4.349 Sn
1.100 3.678 1.419 Sn
-1.106 2.695 7.188 Sn
-1.106 3.683 4.349 Sn
1.100 2.700 10.118 Sn
2.083 3.683 7.188 Sn
2.089 2.700 12.957 Sn
3.189 1.595 -2.884 Ir
0.000 1.595 2.884 Ir
3.189 1.595 8.653 Ir
0.000 1.595 14.422 Ir
```

Properties
SG	I4_1/acd
size of the total moment	0.021	μB/cell
E	-5.17	eV/atom

=====

Record 13
Sn2Ir9: relaxed, PBE-GGA.

```
Sn2Ir9
1.0
2.817 0.000 0.000
-1.408 2.439 0.000
0.000 0.000 36.636
Sn Ir
2 9
Cartesian
0.000 1.626 11.188 Sn
1.408 0.813 25.448 Sn
0.000 0.000 0.000 Ir
0.000 0.000 6.598 Ir
0.000 0.000 30.038 Ir
0.000 1.626 4.402 Ir
0.000 1.626 27.835 Ir
0.000 1.626 34.433 Ir
1.408 0.813 2.202 Ir
1.408 0.813 8.800 Ir
1.408 0.813 32.234 Ir
```

Properties
SG	P-3m1
size of the total moment	0.004	μB/cell
E	-7.76	eV/atom

=====

Record 14
Sn7Ir3: relaxed, PBE-GGA.

```
Sn7Ir3
1.0
-4.743 4.743 4.743
4.743 -4.743 4.743
4.743 4.743 -4.743
Sn Ir
14 6
Cartesian
1.564 1.564 -1.564 Sn
3.179 3.179 -3.179 Sn
1.564 -1.564 1.564 Sn
3.179 -3.179 3.179 Sn
4.743 2.371 0.000 Sn
4.743 0.000 2.371 Sn
-1.564 1.564 1.564 Sn
1.564 1.564 1.564 Sn
2.371 4.743 0.000 Sn
2.371 0.000 4.743 Sn
-3.179 3.179 3.179 Sn
3.179 3.179 3.179 Sn
0.000 4.743 2.371 Sn
0.000 2.371 4.743 Sn
3.247 0.000 0.000 Ir
6.238 0.000 0.000 Ir
0.000 3.247 0.000 Ir
0.000 0.000 3.247 Ir
0.000 6.238 0.000 Ir
0.000 0.000 6.238 Ir
```

Properties
SG	Im-3m
size of the total moment	0.009	μB/cell
E	-5.72	eV/atom

=====

Record 15
Sn3Ir: relaxed, PBE-GGA.

```
Sn3Ir
1.0
5.326 -3.077 0.000
5.326 3.077 0.000
-0.007 0.000 9.301
Sn Ir
9 3
Cartesian
0.000 0.000 0.000 Sn
1.626 -0.641 6.380 Sn
3.706 0.280 9.299 Sn
1.875 -1.053 2.932 Sn
6.940 0.280 0.002 Sn
5.093 -0.809 2.924 Sn
5.553 -0.809 6.377 Sn
9.020 -0.641 2.922 Sn
8.771 -1.053 6.370 Sn
5.323 1.215 4.651 Ir
3.542 -1.865 7.701 Ir
7.104 -1.865 1.600 Ir
```

Properties
SG	C2
size of the total moment	0.000	μB/cell
E	-5.25	eV/atom